Entry 1:
First-principles (GGA-PBE) data for an optimized crystal structure of RbSr2VBi, as listed in Alexandria via LeMat-Bulk.

space group = P4/mmm, No. 123
N(E_F) = 0.33 states/eV/atom
formation energy = 3.05 eV per formula unit
density = 3.87 g/cm3

a b c (Å): 6.137 5.929 6.137
angles (deg): 90.00 90.00 90.00
Site moments in Bohr magnetons follow the coordinates.
Fractional positions:
V 0.000 0.000 0.000  3.26
Sr 0.000 0.000 0.500  0.11
Sr 0.500 0.000 0.000  0.11
Bi 0.500 0.500 0.500  -0.05
Rb 0.000 0.500 0.000  0.06

=====

Entry 2:
First-principles (GGA-PBE) data for an optimized crystal structure of Ag2SbPb2, as listed in Alexandria via LeMat-Bulk.

space group = P4/mbm, No. 127
energy above the lowest structure with this stoichiometry = 0.000 eV per atom
N(E_F) = 0.48 states/eV/atom
density = 9.66 g/cm3
raw formation energy = 0.072 eV per atom

a b c (Å): 7.540 7.540 4.549
angles (deg): 90.00 90.00 90.00
Fractional positions:
Pb 0.168 0.668 0.500
Pb 0.832 0.332 0.500
Pb 0.332 0.168 0.500
Pb 0.668 0.832 0.500
Sb 0.000 0.000 0.000
Sb 0.500 0.500 0.000
Ag 0.632 0.132 0.000
Ag 0.368 0.868 0.000
Ag 0.132 0.368 0.000
Ag 0.868 0.632 0.000